[1]
Density functional theory data (GGA-PBE) for a relaxed LiPrIr crystal.

Geometry as CIF:
```
data_LiPrIr
_symmetry_space_group_name_H-M 'I 4 m m'
_symmetry_Int_Tables_number 107
_symmetry_space_group_name_Hall 'I 4 -2'
_cell_length_a 3.6660
_cell_length_b 3.6660
_cell_length_c 9.1595
_cell_angle_alpha 90.00
_cell_angle_beta 90.00
_cell_angle_gamma 90.00
loop_
_atom_site_label
_atom_site_type_symbol
_atom_site_fract_x
_atom_site_fract_y
_atom_site_fract_z
_atom_site_occupancy
Li1 Li 0.0000 0.0000 0.0000 1
Pr1 Pr 0.0000 0.0000 0.2977 1
Ir1 Ir 0.0000 0.0000 0.6344 1
```

Output
ΔH_f (0 K) (eV per atom): -0.185
Total magnetization (μB per atom): 0.000
Energy (Ry per atom): -0.395

=====

[2]
Density functional theory data (GGA-PBE) for a relaxed LiPrIr crystal.

Geometry as CIF:
```
data_LiPrIr
_symmetry_space_group_name_H-M 'F -4 3 m'
_symmetry_Int_Tables_number 216
_symmetry_space_group_name_Hall 'F -4 2 3'
_cell_length_a 6.6111
_cell_length_b 6.6111
_cell_length_c 6.6111
_cell_angle_alpha 90.00
_cell_angle_beta 90.00
_cell_angle_gamma 90.00
loop_
_atom_site_label
_atom_site_type_symbol
_atom_site_fract_x
_atom_site_fract_y
_atom_site_fract_z
_atom_site_occupancy
Li1 Li 0.0000 0.0000 0.0000 1
Pr1 Pr 0.0000 0.0000 0.5000 1
Ir1 Ir 0.2500 0.2500 0.2500 1
```

Output
ΔH_f (0 K) (eV per atom): -0.183
Total magnetization (μB per atom): 0.000
Energy (Ry per atom): -0.395